No. 1
Material: Ba2TlAu2
Method: DFT, PBE
State: relaxed

extended XYZ file:
```
5
Lattice="-0.708 4.069 -1.356 -3.559 -1.482 -2.591 -3.348 1.963 7.639" Properties=species:S:1:pos:R:3 pbc="T T T"
Au -4.881 -0.002 2.542
Ba -3.464 1.610 -0.328
Tl 0.000 0.000 0.000
Au -2.026 0.483 2.506
Ba -4.151 2.939 4.020
```

Results
- spin magnetization (μB per atom) = 0.00
- density of states at the Fermi level (states/eV/f.u.) = 2.624
- VASP energy (hartree per atom) = -0.1168
- formation enthalpy at 0 K (meV/atom) = -624
- V (Å³ per atom) = 33.3

***

No. 2
Material: AlTcTeN2
Method: DFT, PBE
State: relaxed

extended XYZ file:
```
5
Lattice="3.761 0.000 0.000 0.000 3.761 0.000 0.000 0.000 6.149" Properties=species:S:1:pos:R:3 pbc="T T T"
Al 0.000 0.000 0.000
Te 0.000 0.000 3.075
Tc 1.881 1.881 3.075
N 0.000 1.881 0.000
N 1.881 0.000 0.000
```

Results
- spin magnetization (μB per atom) = 0.67
- density of states at the Fermi level (states/eV/f.u.) = 4.368
- VASP energy (hartree per atom) = -0.2057
- energy above the most stable polymorph in this dataset (eV per formula unit) = 3.06
- V (Å³ per atom) = 17.4

***

No. 3
Material: Sc2P3H3O9
Method: DFT, PBE
State: relaxed

extended XYZ file:
```
34
Lattice="8.489 0.000 0.000 -4.245 7.352 0.000 0.000 0.000 7.803" Properties=species:S:1:pos:R:3 pbc="T T T"
H 6.999 0.015 5.852
P 1.160 2.632 5.852
O 1.531 4.719 1.951
O -1.729 5.196 7.135
O 2.714 2.632 5.852
P 3.085 4.720 1.951
H 4.977 6.054 5.852
O -0.608 6.318 1.951
P 1.385 7.040 5.852
H -2.754 7.337 1.951
O -0.923 3.666 1.951
O 3.635 4.095 3.234
O 1.119 6.251 4.569
O 3.125 1.101 3.234
O 1.119 6.251 7.135
O 4.853 1.034 5.852
O 3.125 1.101 0.668
Sc 4.245 2.451 7.450
O 3.635 4.095 0.668
O -1.729 5.196 4.569
Sc 0.000 4.901 3.548
P 2.859 0.311 1.951
Sc 4.245 2.451 4.255
O 5.167 3.686 5.852
O 0.610 3.257 4.569
O 5.973 2.156 0.668
P -2.545 5.031 5.852
P 6.790 2.320 1.951
O 5.973 2.156 3.234
H 3.487 6.069 1.951
H -0.733 1.298 1.951
Sc 0.000 4.901 0.353
O 0.610 3.257 7.135
H 0.758 1.283 5.852
```

Results
- spin magnetization (μB per atom) = 0.00
- density of states at the Fermi level (states/eV/f.u.) = 0.000
- VASP energy (hartree per atom) = -0.2634
- V (Å³ per atom) = 14.3

***

No. 4
Material: Ti8CoRh2
Method: DFT, PBE
State: relaxed

extended XYZ file:
```
11
Lattice="4.437 0.000 0.000 0.000 5.938 0.093 -2.218 -2.434 6.631" Properties=species:S:1:pos:R:3 pbc="T T T"
Ti 0.000 1.366 5.475
Co 2.218 0.000 0.000
Ti 2.218 2.790 4.235
Ti 0.000 0.713 2.489
Ti 2.218 -0.882 6.416
Ti 2.218 4.785 2.188
Rh 0.000 3.192 2.575
Ti 0.000 4.385 0.308
Ti 2.218 2.137 1.249
Rh 2.218 0.312 4.149
Ti 0.000 -1.282 4.536
```

Results
- spin magnetization (μB per atom) = 0.00
- density of states at the Fermi level (states/eV/f.u.) = 13.976
- VASP energy (hartree per atom) = -0.2949
- formation enthalpy at 0 K (meV/atom) = -301
- V (Å³ per atom) = 16.0

***

No. 5
Material: YEr6Sc4
Method: DFT, PBE
State: relaxed

extended XYZ file:
```
11
Lattice="-1.846 -2.897 5.303 -2.942 -4.412 -3.435 9.289 -0.881 -1.013" Properties=species:S:1:pos:R:3 pbc="T T T"
Er 3.537 -4.297 0.301
Sc 0.914 -2.433 0.307
Er -0.144 -5.556 -0.740
Sc 5.499 -2.891 2.780
Er -1.471 -2.206 -1.717
Er -0.923 -1.449 2.651
Sc -2.197 -7.183 1.521
Y -2.394 -3.655 0.934
Er 5.340 -1.543 -0.403
Sc 4.786 -3.875 -2.898
Er 0.269 -4.985 2.552
```

Results
- spin magnetization (μB per atom) = 0.00
- density of states at the Fermi level (states/eV/f.u.) = 16.419
- VASP energy (hartree per atom) = -0.1857
- formation enthalpy at 0 K (meV/atom) = 327
- V (Å³ per atom) = 30.0

***

No. 6
Material: MgNiW
Method: DFT, PBE
State: relaxed

extended XYZ file:
```
6
Lattice="3.762 0.000 0.000 0.000 3.762 0.000 0.000 0.000 6.926" Properties=species:S:1:pos:R:3 pbc="T T T"
W 1.881 1.881 3.463
Ni 1.881 0.000 5.246
Mg 1.881 0.000 1.015
W 0.000 0.000 3.463
Ni 0.000 1.881 1.681
Mg 0.000 1.881 5.911
```

Results
- spin magnetization (μB per atom) = 0.00
- density of states at the Fermi level (states/eV/f.u.) = 2.810
- VASP energy (hartree per atom) = -0.2405
- energy above the most stable polymorph in this dataset (eV per formula unit) = 0.44
- formation enthalpy at 0 K (meV/atom) = 233
- V (Å³ per atom) = 16.3

***

No. 7
Material: AcNd15Sm4
Method: DFT, PBE
State: relaxed

extended XYZ file:
```
20
Lattice="5.217 0.000 0.000 0.000 5.217 0.000 0.000 0.000 26.052" Properties=species:S:1:pos:R:3 pbc="T T T"
Nd 0.000 2.608 7.868
Nd 2.608 0.000 7.868
Nd 2.608 2.608 10.446
Nd 2.608 0.000 2.712
Nd 2.608 2.608 20.751
Nd 2.608 0.000 23.341
Nd 2.608 2.608 5.301
Nd 2.608 2.608 0.000
Ac 0.000 0.000 0.000
Nd 2.608 2.608 15.607
Nd 0.000 2.608 18.184
Sm 0.000 0.000 10.448
Nd 2.608 0.000 13.026
Sm 0.000 0.000 15.605
Sm 0.000 0.000 5.277
Nd 2.608 0.000 18.184
Nd 0.000 2.608 2.712
Sm 0.000 0.000 20.775
Nd 0.000 2.608 13.026
Nd 0.000 2.608 23.341
```

Results
- spin magnetization (μB per atom) = 0.00
- density of states at the Fermi level (states/eV/f.u.) = 30.170
- VASP energy (hartree per atom) = -0.1730
- formation enthalpy at 0 K (meV/atom) = 18
- V (Å³ per atom) = 35.4

***

No. 8
Material: Cd2AsW
Method: DFT, PBE
State: relaxed

extended XYZ file:
```
4
Lattice="7.599 0.029 0.010 7.060 2.811 0.010 1.167 0.226 4.048" Properties=species:S:1:pos:R:3 pbc="T T T"
W 11.870 2.300 3.051
Cd 7.051 1.366 2.292
Cd 2.029 0.393 3.789
As 3.957 0.767 1.017
```

Results
- spin magnetization (μB per atom) = 0.00
- density of states at the Fermi level (states/eV/f.u.) = 1.131
- VASP energy (hartree per atom) = -0.1663
- formation enthalpy at 0 K (meV/atom) = 332
- V (Å³ per atom) = 21.4

***

Which formula does entry 1 have? Ba2TlAu2

***

Which formula does entry 1 have? Ba2TlAu2